Record 1
An optimized crystal structure of Pm2TmTh. Source: the Alexandria database, functional PBE-GGA.

Cell: 3.6135 3.6135 11.7916 Å, 81.19 81.19 60.00°
Last column: nearest neighbours and their distance in Å.
Element x y z (fractional)
Pm: 0.2503 0.2503 0.2490  3 Th 3.56, 3 Tm 3.57, 6 Pm 3.61
Pm: 0.0828 0.0828 0.7517  3 Th 3.56, 3 Tm 3.60, 6 Pm 3.61
Th: 0.6665 0.6665 0.0004  6 Pm 3.56, 6 Th 3.61
Tm: 0.5004 0.5004 0.4989  6 Pm 3.57-3.60, 6 Tm 3.61

## Properties
* volume: 131.2 Å³ per cell
* DOS at the Fermi energy: 6.4 states/eV per cell
* SG: No. 160
* energy of formation: 0.026 eV per atom
* M_tot: 0.00 μB per atom
* raw total energy: -5.32 eV per atom

=====

Record 2
An optimized crystal structure of Pm9TmTh2. Source: the Alexandria database, functional PBE-GGA.

Cell: 5.1195 5.1195 15.3643 Å, 90.00 90.00 90.00°
Last column: nearest neighbours and their distance in Å.
Element x y z (fractional)
Pm: 0.5000 0.0000 0.8327  8 Pm 3.60-3.63, 2 Th 3.61, 2 Tm 3.63
Pm: 0.5000 0.5000 0.0000  4 Tm 3.62, 8 Pm 3.63
Pm: 0.5000 0.5000 0.6676  8 Pm 3.60-3.63, 4 Th 3.62
Pm: 0.5000 0.0000 0.1673  8 Pm 3.60-3.63, 2 Th 3.61, 2 Tm 3.63
Pm: 0.5000 0.0000 0.5000  8 Pm 3.62-3.63, 4 Th 3.62
Pm: 0.0000 0.5000 0.1673  8 Pm 3.60-3.63, 2 Th 3.61, 2 Tm 3.63
Pm: 0.0000 0.5000 0.5000  8 Pm 3.62-3.63, 4 Th 3.62
Pm: 0.5000 0.5000 0.3324  8 Pm 3.60-3.63, 4 Th 3.62
Pm: 0.0000 0.5000 0.8327  8 Pm 3.60-3.63, 2 Th 3.61, 2 Tm 3.63
Tm: 0.0000 0.0000 0.0000  12 Pm 3.62-3.63
Th: 0.0000 0.0000 0.3330  12 Pm 3.61-3.62
Th: 0.0000 0.0000 0.6670  12 Pm 3.61-3.62

## Properties
* volume: 402.7 Å³ per cell
* DOS at the Fermi energy: 16.5 states/eV per cell
* SG: No. 123
* energy of formation: 0.045 eV per atom
* M_tot: 0.00 μB per atom
* raw total energy: -5.13 eV per atom

=====

Record 3
An optimized crystal structure of Pm2Tm6Th. Source: the Alexandria database, functional PBE-GGA.

Cell: 6.2184 11.6634 11.6634 Å, 96.76 60.61 60.61°
Last column: nearest neighbours and their distance in Å.
Element x y z (fractional)
Tm: 0.6685 0.3339 0.4964  5 Tm 3.35-3.71, 4 Pm 3.42-3.72, 1 Th 3.48
Tm: 0.5340 0.5934 0.0939  4 Tm 3.23-3.37, 2 Pm 3.36, 2 Th 3.49-3.53
Tm: 0.9660 0.9061 0.4066  4 Tm 3.23-3.37, 2 Pm 3.36, 2 Th 3.49-3.53
Tm: 0.1685 0.4964 0.3339  5 Tm 3.35-3.71, 4 Pm 3.42-3.72, 1 Th 3.48
Tm: 0.6683 0.9966 0.8335  5 Tm 3.36-3.71, 4 Pm 3.42-3.72, 1 Th 3.48
Tm: 0.4660 0.4066 0.9061  4 Tm 3.23-3.37, 2 Pm 3.36, 2 Th 3.49-3.53
Tm: 0.1683 0.8335 0.9966  5 Tm 3.36-3.71, 4 Pm 3.42-3.72, 1 Th 3.48
Tm: 0.3315 0.6661 0.5036  5 Tm 3.35-3.71, 4 Pm 3.42-3.72, 1 Th 3.48
Tm: 0.8317 0.1665 0.0034  5 Tm 3.36-3.71, 4 Pm 3.42-3.72, 1 Th 3.48
Tm: 0.0340 0.0939 0.5934  4 Tm 3.23-3.37, 2 Pm 3.36, 2 Th 3.49-3.53
Tm: 0.3317 0.0034 0.1665  5 Tm 3.36-3.71, 4 Pm 3.42-3.72, 1 Th 3.48
Tm: 0.8315 0.5036 0.6661  5 Tm 3.35-3.71, 4 Pm 3.42-3.72, 1 Th 3.48
Pm: 0.0006 0.3484 0.1516  10 Tm 3.36-3.72
Pm: 0.5006 0.1516 0.3484  10 Tm 3.36-3.72
Pm: 0.9994 0.6516 0.8484  10 Tm 3.36-3.72
Pm: 0.4994 0.8484 0.6516  10 Tm 3.36-3.72
Th: 0.7500 0.7499 0.2501  10 Tm 3.48-3.62
Th: 0.2500 0.2501 0.7499  10 Tm 3.48-3.62

## Properties
* volume: 566.0 Å³ per cell
* DOS at the Fermi energy: 25.8 states/eV per cell
* SG: No. 15
* energy of formation: 0.120 eV per atom
* M_tot: 0.00 μB per atom
* raw total energy: -4.74 eV per atom

=====

Record 4
An optimized crystal structure of Pm2Tm8Th. Source: the Alexandria database, functional PBE-GGA.

Cell: 5.0009 7.8869 9.3386 Å, 104.62 105.53 90.00°
Last column: nearest neighbours and their distance in Å.
Element x y z (fractional)
Pm: 0.2279 0.6361 0.4558  2 Pm 3.52, 10 Tm 3.54-3.58
Pm: 0.7721 0.3639 0.5442  2 Pm 3.52, 10 Tm 3.54-3.58
Tm: 0.4107 0.5480 0.8215  8 Tm 3.49-3.56, 1 Th 3.51, 3 Pm 3.54-3.56
Tm: 0.5893 0.4520 0.1785  8 Tm 3.49-3.56, 1 Th 3.51, 3 Pm 3.54-3.56
Tm: 0.8653 0.8226 0.7307  7 Tm 3.47-3.57, 2 Th 3.51, 3 Pm 3.55-3.57
Tm: 0.6800 0.9070 0.3599  1 Th 3.50, 8 Tm 3.52-3.58, 3 Pm 3.54-3.55
Tm: 0.9559 0.2689 0.9118  9 Tm 3.47-3.57, 2 Th 3.50, 1 Pm 3.58
Tm: 0.3200 0.0930 0.6401  1 Th 3.50, 8 Tm 3.52-3.58, 3 Pm 3.54-3.55
Tm: 0.1347 0.1774 0.2693  7 Tm 3.47-3.57, 2 Th 3.51, 3 Pm 3.55-3.57
Tm: 0.0441 0.7311 0.0882  9 Tm 3.47-3.57, 2 Th 3.50, 1 Pm 3.58
Th: 0.5000 0.0000 0.0000  12 Tm 3.50-3.51

## Properties
* volume: 342.5 Å³ per cell
* DOS at the Fermi energy: 16.9 states/eV per cell
* SG: No. 12
* energy of formation: 0.029 eV per atom
* M_tot: 0.00 μB per atom
* raw total energy: -4.76 eV per atom

=====

Record 5
An optimized crystal structure of Pm3TmTh. Source: the Alexandria database, functional PBE-GGA.

Cell: 8.7438 8.7438 9.1191 Å, 77.60 77.60 140.83°
Last column: nearest neighbours and their distance in Å.
Element x y z (fractional)
Tm: 0.6911 0.3089 0.5000  2 Th 3.50, 2 Tm 3.52, 8 Pm 3.61-3.64
Tm: 0.3089 0.6911 0.5000  2 Th 3.50, 2 Tm 3.52, 8 Pm 3.61-3.64
Pm: 0.8630 0.6279 0.7526  5 Pm 3.47-3.87, 3 Th 3.56-3.63, 3 Tm 3.62-3.64
Pm: 0.2444 0.2444 0.7525  6 Pm 3.47-3.54, 2 Tm 3.61, 2 Th 3.63
Pm: 0.7556 0.7556 0.2475  6 Pm 3.47-3.54, 2 Tm 3.61, 2 Th 3.63
Pm: 0.1370 0.3721 0.2474  5 Pm 3.47-3.87, 3 Th 3.56-3.63, 3 Tm 3.62-3.64
Pm: 0.6279 0.8630 0.7526  5 Pm 3.47-3.87, 3 Th 3.56-3.63, 3 Tm 3.62-3.64
Pm: 0.3721 0.1370 0.2474  5 Pm 3.47-3.87, 3 Th 3.56-3.63, 3 Tm 3.62-3.64
Th: 0.8062 0.1938 0.0000  2 Th 3.47, 2 Tm 3.50, 8 Pm 3.56-3.63
Th: 0.1938 0.8062 0.0000  2 Th 3.47, 2 Tm 3.50, 8 Pm 3.56-3.63

## Properties
* volume: 338.2 Å³ per cell
* DOS at the Fermi energy: 15.2 states/eV per cell
* SG: No. 12
* energy of formation: 0.133 eV per atom
* M_tot: 0.00 μB per atom
* raw total energy: -5.10 eV per atom

=====

Record 6
An optimized crystal structure of PmTm4Th. Source: the Alexandria database, functional PBE-GGA.

Cell: 5.5682 11.8195 8.3724 Å, 123.31 90.00 118.11°
Last column: nearest neighbours and their distance in Å.
Element x y z (fractional)
Tm: 0.0939 0.3441 0.3536  7 Tm 3.39-3.80, 1 Pm 3.47, 3 Th 3.52-3.65
Tm: 0.7596 0.0094 0.3536  7 Tm 3.39-3.80, 1 Pm 3.47, 3 Th 3.52-3.65
Tm: 0.6457 0.3962 0.1283  7 Tm 3.25-3.59, 1 Th 3.46, 3 Pm 3.58-3.59
Tm: 0.0173 0.2678 0.8716  7 Tm 3.25-3.59, 1 Th 3.46, 3 Pm 3.58-3.59
Tm: 0.9061 0.6559 0.6464  7 Tm 3.39-3.80, 1 Pm 3.47, 3 Th 3.52-3.65
Tm: 0.3543 0.6038 0.8717  7 Tm 3.25-3.59, 1 Th 3.46, 3 Pm 3.58-3.59
Tm: 0.2404 0.9906 0.6464  7 Tm 3.39-3.80, 1 Pm 3.47, 3 Th 3.52-3.65
Tm: 0.9827 0.7322 0.1284  7 Tm 3.25-3.59, 1 Th 3.46, 3 Pm 3.58-3.59
Th: 0.6938 0.9438 0.8876  2 Th 3.15, 4 Tm 3.46-3.52
Th: 0.3062 0.0562 0.1124  2 Th 3.15, 4 Tm 3.46-3.52
Pm: 0.5761 0.3261 0.6521  12 Tm 3.47-3.83, 1 Th 3.54
Pm: 0.4239 0.6739 0.3479  12 Tm 3.47-3.83, 1 Th 3.54

## Properties
* volume: 380.3 Å³ per cell
* DOS at the Fermi energy: 17.9 states/eV per cell
* SG: No. 63
* energy of formation: 0.069 eV per atom
* M_tot: 0.00 μB per atom
* raw total energy: -4.94 eV per atom

=====

Repeat the first record exactly.
An optimized crystal structure of Pm2TmTh. Source: the Alexandria database, functional PBE-GGA.

Cell: 3.6135 3.6135 11.7916 Å, 81.19 81.19 60.00°
Last column: nearest neighbours and their distance in Å.
Element x y z (fractional)
Pm: 0.2503 0.2503 0.2490  3 Th 3.56, 3 Tm 3.57, 6 Pm 3.61
Pm: 0.0828 0.0828 0.7517  3 Th 3.56, 3 Tm 3.60, 6 Pm 3.61
Th: 0.6665 0.6665 0.0004  6 Pm 3.56, 6 Th 3.61
Tm: 0.5004 0.5004 0.4989  6 Pm 3.57-3.60, 6 Tm 3.61

## Properties
* volume: 131.2 Å³ per cell
* DOS at the Fermi energy: 6.4 states/eV per cell
* SG: No. 160
* energy of formation: 0.026 eV per atom
* M_tot: 0.00 μB per atom
* raw total energy: -5.32 eV per atom

=====

- Among the records above, which one has the highest raw total energy?
  Pm2Tm6Th